Here is a relaxed structure of LaTb from the Alexandria database. Energies are from PBE.

Results
Its calculated formation energy is 13 kJ/mol of formula units. Its offset from the most stable computed form is 0.056 eV per atom. Its total energy is -0.346 Ry per atom. The space group is P2_1/m (11). The total magnetic moment comes out at 0.00 μB per formula unit. Its density of states at the Fermi level is 1.631 states/eV per atom.

abc: 3.5574 5.6835 7.0477
angles: 90.00 104.58 90.00
Closest atoms and distances in Å follow each position.
Sites, in units of the cell vectors:
La1 0.0613 0.2500 0.1224  4 La 3.30-3.56, 1 Tb 3.46
La2 0.9387 0.7500 0.8776  4 La 3.30-3.56, 1 Tb 3.46
Tb1 0.3154 0.2500 0.6298  7 La 3.46-3.80, 6 Tb 3.56-3.79
Tb2 0.6846 0.7500 0.3702  7 La 3.46-3.80, 6 Tb 3.56-3.79


Here is a relaxed structure of RbTeBrF2 from the Alexandria database. Energies are from PBE.

Results
The formation energy without anion corrections comes out at -0.6286 eV/atom. Its total energy is -0.186 Ry per atom. The space group is P4/mmm (123). The total magnetic moment comes out at 0.82 μB per formula unit. Its density of states at the Fermi level is 1.618 states/eV per atom.

abc: 4.6244 4.6244 7.9870
angles: 90.00 90.00 90.00
Closest atoms and distances in Å follow each position.
Sites, in units of the cell vectors:
Rb1 0.0000 0.0000 0.0000  4 F 2.31
Te1 0.0000 0.0000 0.5000  4 Br 3.27
Br1 0.5000 0.5000 0.5000  4 Te 3.27
F1 0.0000 0.5000 0.0000  2 Rb 2.31
F2 0.5000 0.0000 0.0000  2 Rb 2.31